[1]
First-principles (PBE) data for a relaxed Zr6BN3 crystal, as listed in Alexandria via LeMat-Bulk.

Results
ΔE_f (raw): -1114 meV/atom

```
Zr6BN3
1.0
3.293 0.000 0.000
0.000 10.320 -0.485
0.000 -3.920 9.068
Zr N B
12 6 2
Direct
0.250 0.232 0.268 Zr
0.250 0.073 0.915 Zr
0.250 0.615 0.935 Zr
0.750 0.385 0.065 Zr
0.750 0.927 0.085 Zr
0.250 0.902 0.547 Zr
0.750 0.431 0.607 Zr
0.750 0.098 0.453 Zr
0.750 0.731 0.247 Zr
0.250 0.269 0.753 Zr
0.750 0.768 0.732 Zr
0.250 0.569 0.393 Zr
0.250 0.843 0.911 N
0.250 0.269 0.522 N
0.750 0.157 0.089 N
0.750 0.731 0.478 N
0.750 0.435 0.846 N
0.250 0.565 0.154 N
0.750 0.072 0.716 B
0.250 0.928 0.284 B
```



[2]
First-principles (PBE) data for a relaxed Zr3BN crystal, as listed in Alexandria via LeMat-Bulk.

Results
ΔE_f (raw): -947 meV/atom
Energy relative to the lowest polymorph listed for this composition: 0.0 meV/atom

```
Zr3BN
1.0
3.317 -0.511 0.000
-0.835 5.576 0.000
0.000 0.000 8.392
Zr N B
6 2 2
Direct
0.136 0.273 0.068 Zr
0.423 0.847 0.250 Zr
0.864 0.727 0.932 Zr
0.136 0.273 0.432 Zr
0.577 0.153 0.750 Zr
0.864 0.727 0.568 Zr
0.500 0.000 0.500 N
0.500 0.000 0.000 N
0.760 0.518 0.250 B
0.240 0.482 0.750 B
```



[3]
First-principles (PBE) data for a relaxed ZrB3N crystal, as listed in Alexandria via LeMat-Bulk.

Results
ΔE_f (raw): 2983 meV/atom
Energy relative to the lowest polymorph listed for this composition: 1723.1 meV/atom

```
ZrB3N
1.0
-0.838 -4.042 -2.024
4.460 -1.077 0.304
-0.742 -1.908 4.117
B N Zr
3 1 1
Direct
0.000 0.000 0.500 B
0.000 0.500 0.000 B
0.500 0.000 0.000 B
0.500 0.500 0.500 N
0.000 0.000 0.000 Zr
```



[4]
First-principles (PBE) data for a relaxed ZrB3N crystal, as listed in Alexandria via LeMat-Bulk.

Results
ΔE_f (raw): 1260 meV/atom
Energy relative to the lowest polymorph listed for this composition: 0.0 meV/atom

```
ZrB3N
1.0
3.636 0.000 0.000
0.000 3.636 0.000
0.000 0.000 3.636
B N Zr
3 1 1
Direct
0.000 0.500 0.000 B
0.000 0.000 0.500 B
0.500 0.000 0.000 B
0.000 0.000 0.000 N
0.500 0.500 0.500 Zr
```



[5]
First-principles (PBE) data for a relaxed Zr3BN crystal, as listed in Alexandria via LeMat-Bulk.

Results
ΔE_f (raw): -286 meV/atom
Energy relative to the lowest polymorph listed for this composition: 661.3 meV/atom

```
Zr3BN
1.0
4.356 0.000 0.000
0.000 4.356 0.000
0.000 0.000 4.356
Zr N B
3 1 1
Direct
0.500 0.000 0.000 Zr
0.000 0.500 0.000 Zr
0.000 0.000 0.500 Zr
0.000 0.000 0.000 N
0.500 0.500 0.500 B
```



[6]
First-principles (PBE) data for a relaxed ZrBN2 crystal, as listed in Alexandria via LeMat-Bulk.

Results
ΔE_f (raw): 828 meV/atom

```
ZrBN2
1.0
1.656 0.000 5.821
-0.828 1.434 5.821
-0.828 -1.434 5.821
Zr N B
1 2 1
Direct
0.000 0.000 0.000 Zr
0.120 0.120 0.120 N
0.880 0.880 0.880 N
0.500 0.500 0.500 B
```



[7]
First-principles (PBE) data for a relaxed ZrBN2 crystal, as listed in Alexandria via LeMat-Bulk.

Results
ΔE_f (raw): -806 meV/atom

```
ZrBN2
1.0
-4.519 -1.376 1.622
2.015 -1.548 4.300
-1.651 1.198 4.105
B N Zr
2 4 2
Direct
0.500 0.500 0.000 B
0.250 0.750 0.500 B
0.237 0.625 0.250 N
0.875 0.763 0.750 N
0.513 0.125 0.250 N
0.375 0.487 0.750 N
0.750 0.250 0.500 Zr
0.000 0.000 0.000 Zr
```



[8]
First-principles (PBE) data for a relaxed ZrB2N crystal, as listed in Alexandria via LeMat-Bulk.

Results
ΔE_f (raw): 271 meV/atom

```
ZrB2N
1.0
-1.182 1.877 -4.857
-0.566 -4.998 -1.793
-3.647 -1.497 -2.626
Zr B N
2 4 2
Direct
0.000 0.000 0.000 Zr
0.750 0.250 0.500 Zr
0.507 0.125 0.250 B
0.243 0.625 0.250 B
0.375 0.493 0.750 B
0.875 0.757 0.750 B
0.250 0.750 0.500 N
0.500 0.500 0.000 N
```



[9]
First-principles (PBE) data for a relaxed Zr2BN crystal, as listed in Alexandria via LeMat-Bulk.

Results
ΔE_f (raw): -582 meV/atom
Energy relative to the lowest polymorph listed for this composition: 640.6 meV/atom

```
Zr2BN
1.0
-2.548 2.434 -3.685
-4.329 -2.217 1.529
-4.332 4.093 2.172
Zr B N
4 2 2
Direct
0.375 0.351 0.750 Zr
0.875 0.899 0.750 Zr
0.649 0.125 0.250 Zr
0.101 0.625 0.250 Zr
0.250 0.750 0.500 B
0.500 0.500 0.000 B
0.000 0.000 0.000 N
0.750 0.250 0.500 N
```



[10]
First-principles (PBE) data for a relaxed ZrBN3 crystal, as listed in Alexandria via LeMat-Bulk.

Results
ΔE_f (raw): 202 meV/atom

```
ZrBN3
1.0
3.434 0.000 0.000
0.000 3.434 0.000
0.000 0.000 3.434
B N Zr
1 3 1
Direct
0.000 0.000 0.000 B
0.000 0.500 0.000 N
0.000 0.000 0.500 N
0.500 0.000 0.000 N
0.500 0.500 0.500 Zr
```



[11]
First-principles (PBE) data for a relaxed ZrBN3 crystal, as listed in Alexandria via LeMat-Bulk.

Results
ΔE_f (raw): 1833 meV/atom

```
ZrBN3
1.0
4.253 0.000 0.000
0.000 4.253 0.000
0.000 0.000 4.253
N B Zr
3 1 1
Direct
0.000 0.000 0.500 N
0.500 0.000 0.000 N
0.000 0.500 0.000 N
0.500 0.500 0.500 B
0.000 0.000 0.000 Zr
```



[12]
First-principles (PBE) data for a relaxed Zr2BN crystal, as listed in Alexandria via LeMat-Bulk.

Results
ΔE_f (raw): -20 meV/atom
Energy relative to the lowest polymorph listed for this composition: 1202.1 meV/atom

```
Zr2BN
1.0
0.000 2.967 2.967
2.967 0.000 2.967
2.967 2.967 0.000
N Zr B
1 2 1
Direct
0.500 0.500 0.500 N
0.750 0.750 0.750 Zr
0.250 0.250 0.250 Zr
0.000 0.000 0.000 B
```



[13]
First-principles (PBE) data for a relaxed ZrBN2 crystal, as listed in Alexandria via LeMat-Bulk.

Results
ΔE_f (raw): -1033 meV/atom

```
ZrBN2
1.0
0.639 5.357 1.124
2.861 3.679 2.939
3.457 4.282 -0.274
N Zr B
2 1 1
Direct
0.913 0.913 0.913 N
0.087 0.087 0.087 N
0.500 0.500 0.500 Zr
0.000 0.000 0.000 B
```



[14]
First-principles (PBE) data for a relaxed ZrBN crystal, as listed in Alexandria via LeMat-Bulk.

Results
ΔE_f (raw): -637 meV/atom

```
ZrBN
1.0
3.491 0.000 0.000
-1.746 2.962 -0.284
0.000 -1.202 7.692
Zr B N
2 2 2
Direct
0.730 0.459 0.692 Zr
0.270 0.541 0.308 Zr
0.146 0.292 0.983 B
0.854 0.708 0.017 B
0.373 0.747 0.628 N
0.627 0.253 0.372 N
```



[15]
First-principles (PBE) data for a relaxed Na2B29 crystal, as listed in Alexandria via LeMat-Bulk.

Results
Energy relative to the elements: 0.00 eV/atom

```
Na2B29
1.0
-3.445 -6.184 -1.559
-1.300 -1.207 7.028
-2.111 5.221 -4.564
B Na
29 2
Direct
0.143 0.465 0.001 B
0.713 0.917 0.291 B
0.507 0.345 0.162 B
0.792 0.583 0.716 B
0.536 0.535 0.678 B
0.380 0.416 0.964 B
0.124 0.084 0.040 B
0.816 0.655 0.162 B
0.133 0.923 0.716 B
0.548 0.584 0.964 B
0.993 0.153 0.839 B
0.364 0.036 0.007 B
0.508 0.872 0.637 B
0.686 0.847 0.839 B
0.374 0.083 0.796 B
0.743 0.500 0.243 B
0.536 0.858 0.001 B
0.374 0.578 0.291 B
0.971 0.643 0.007 B
0.971 0.964 0.328 B
0.133 0.417 0.210 B
0.789 0.400 0.389 B
0.143 0.142 0.678 B
0.956 0.916 0.040 B
0.792 0.077 0.210 B
0.765 0.128 0.637 B
0.364 0.357 0.328 B
0.713 0.422 0.796 B
0.989 0.600 0.389 B
0.163 0.500 0.663 Na
0.359 0.000 0.359 Na
```



[16]
First-principles (PBE) data for a relaxed NaB crystal, as listed in Alexandria via LeMat-Bulk.

Results
Energy relative to the elements: 2.20 eV/atom

```
NaB
1.0
5.954 0.000 0.000
0.000 5.954 0.000
0.000 0.000 5.954
B Na
4 4
Direct
0.750 0.750 0.250 B
0.750 0.250 0.750 B
0.250 0.750 0.750 B
0.250 0.250 0.250 B
0.000 0.500 0.500 Na
0.500 0.500 0.000 Na
0.500 0.000 0.500 Na
0.000 0.000 0.000 Na
```



[17]
First-principles (PBE) data for a relaxed NaB2 crystal, as listed in Alexandria via LeMat-Bulk.

Results
Energy relative to the elements: 1.08 eV/atom
Energy relative to the lowest polymorph listed for this composition: 770.9 meV/atom

```
NaB2
1.0
-1.448 -0.922 -2.050
2.132 0.211 -1.601
0.951 -4.174 2.950
B Na
2 1
Direct
0.261 0.261 0.522 B
0.739 0.739 0.478 B
0.000 0.000 0.000 Na
```



[18]
First-principles (PBE) data for a relaxed NaB12 crystal, as listed in Alexandria via LeMat-Bulk.

Results
Energy relative to the elements: 0.78 eV/atom

```
NaB12
1.0
4.992 0.000 0.000
0.000 4.992 0.000
0.000 0.000 4.992
B Na
12 1
Direct
0.000 0.247 0.500 B
0.247 0.500 0.000 B
0.500 0.000 0.247 B
0.000 0.500 0.753 B
0.000 0.500 0.247 B
0.500 0.247 0.000 B
0.500 0.753 0.000 B
0.000 0.753 0.500 B
0.247 0.000 0.500 B
0.753 0.000 0.500 B
0.753 0.500 0.000 B
0.500 0.000 0.753 B
0.500 0.500 0.500 Na
```



[19]
First-principles (PBE) data for a relaxed NaB2 crystal, as listed in Alexandria via LeMat-Bulk.

Results
Energy relative to the elements: 0.31 eV/atom
Energy relative to the lowest polymorph listed for this composition: 0.0 meV/atom

```
NaB2
1.0
3.030 0.000 0.000
-1.515 2.624 0.000
0.000 0.000 8.656
B Na
4 2
Direct
0.667 0.333 0.750 B
0.667 0.333 0.250 B
0.333 0.667 0.250 B
0.333 0.667 0.750 B
0.000 0.000 0.500 Na
0.000 0.000 0.000 Na
```



[20]
First-principles (PBE) data for a relaxed NaB crystal, as listed in Alexandria via LeMat-Bulk.

Results
Energy relative to the elements: 0.92 eV/atom

```
NaB
1.0
7.890 0.000 0.000
0.000 12.348 0.000
0.000 0.000 4.899
Na B
16 16
Direct
0.583 0.250 0.750 Na
0.417 0.750 0.750 Na
0.417 0.250 0.250 Na
0.667 0.000 0.000 Na
0.333 0.500 0.500 Na
0.583 0.750 0.250 Na
0.667 0.500 0.500 Na
0.333 0.000 0.000 Na
0.833 0.500 0.000 Na
0.083 0.250 0.250 Na
0.917 0.750 0.250 Na
0.167 0.500 0.000 Na
0.167 0.000 0.500 Na
0.833 0.000 0.500 Na
0.083 0.750 0.750 Na
0.917 0.250 0.750 Na
0.500 0.564 0.000 B
0.250 0.314 0.750 B
0.000 0.064 0.000 B
0.000 0.436 0.500 B
0.250 0.814 0.250 B
0.250 0.686 0.250 B
0.500 0.064 0.500 B
0.000 0.936 0.000 B
0.750 0.314 0.250 B
0.500 0.436 0.000 B
0.750 0.814 0.750 B
0.500 0.936 0.500 B
0.250 0.186 0.750 B
0.750 0.186 0.250 B
0.750 0.686 0.750 B
0.000 0.564 0.500 B
```



no.,calculated total energy (eV/cell),theoretical density (g/cm³)
1,-188.16,6.60
2,-90.76,6.54
3,-21.99,2.35
4,-30.60,4.75
5,-42.08,6.00
6,-28.56,5.21
7,-70.20,5.92
8,-58.29,5.17
9,-68.85,5.07
10,-39.19,5.90
11,-31.03,3.11
12,-32.18,6.59
13,-36.01,4.37
14,-50.92,4.92
15,-196.19,2.38
16,-14.36,1.06
17,-11.43,2.14
18,-71.27,2.04
19,-27.48,2.15
20,-98.54,1.88